(1)
VASP calculation (GGA-PBE) on a relaxed K2SrTiO crystal.

- D(E_F): 4.746 states/eV/atom
- E_form (uncorrected): 1371 meV/atom
- VASP energy: -1.975 eV/atom
- Crystal system: tetragonal

Unit cell a=7.6713 b=7.6713 c=5.9733 alpha=90.00 beta=90.00 gamma=90.00
Last column: nearest neighbours and their distance in Å.
Space group P4/mmm (No. 123)
Unique sites:
K (0.0000, 0.5000, 0.0000) (multiplicity 2)  2 Sr 3.84
Sr (0.0000, 0.0000, 0.0000) (multiplicity 1)  2 Ti 2.99
Ti (0.0000, 0.0000, 0.5000) (multiplicity 1)  2 Sr 2.99
O (0.5000, 0.5000, 0.5000) (multiplicity 1)  8 K 4.86, 4 Ti 5.42

---

(2)
VASP calculation (GGA-PBE) on a relaxed Ge3IrRh crystal.

- D(E_F): 0.237 states/eV/atom
- VASP energy: -6.266 eV/atom
- ΔE to the lowest computed polymorph: 0 meV per atom
- Energy of formation: -0.253 eV per atom
- Crystal system: triclinic

Unit cell a=4.2912 b=5.4174 c=7.7230 alpha=81.96 beta=83.13 gamma=69.10
Last column: nearest neighbours and their distance in Å.
Space group P-1 (No. 2)
Unique sites:
Ge (0.1242, 0.0796, 0.3321) (multiplicity 2)  3 Ir 2.48-2.59, 1 Rh 2.48
Ge (0.2403, 0.2630, 0.9350) (multiplicity 2)  1 Ir 2.50, 3 Rh 2.53-2.64
Ge (0.3391, 0.5201, 0.3558) (multiplicity 2)  1 Rh 2.53, 3 Ir 2.57-2.70, 2 Ge 2.70-2.82
Ir (0.2812, 0.1829, 0.6210) (multiplicity 2)  7 Ge 2.48-2.70
Rh (0.2997, 0.7370, 0.8879) (multiplicity 2)  5 Ge 2.48-2.64

---

(3)
VASP calculation (GGA-PBE) on a relaxed TaIr3W crystal.

- D(E_F): 1.337 states/eV/atom
- VASP energy: -8.601 eV/atom
- ΔE to the lowest computed polymorph: 1993 meV per atom
- Energy of formation: 1.677 eV per atom
- Crystal system: cubic

Unit cell a=4.6898 b=4.6898 c=4.6898 alpha=90.00 beta=90.00 gamma=90.00
Last column: nearest neighbours and their distance in Å.
Space group Pm-3m (No. 221)
Unique sites:
Ta (0.0000, 0.0000, 0.0000) (multiplicity 1)  12 Ir 3.32
Ir (0.0000, 0.5000, 0.5000) (multiplicity 3)  2 W 2.34
W (0.5000, 0.5000, 0.5000) (multiplicity 1)  6 Ir 2.34

---

(4)
VASP calculation (GGA-PBE) on a relaxed KNa crystal.

- D(E_F): 0.569 states/eV/atom
- VASP energy: -1.164 eV/atom
- Energy of formation: 0.044 eV per atom
- Crystal system: hexagonal

Unit cell a=11.3894 b=11.3894 c=6.1451 alpha=90.00 beta=90.00 gamma=120.00
Last column: nearest neighbours and their distance in Å.
Space group P6_3/mmc (No. 194)
Unique sites:
K (0.1715, 0.3431, 0.2500) (multiplicity 6)  6 Na 4.00-4.16
Na (0.1218, 0.5609, 0.7500) (multiplicity 6)  4 Na 3.61-3.90, 2 K 4.00